[1]
# La8C3N | Alexandria | PBE | relaxed
data_La8C3N
_space_group_name_H-M_alt 'P 1'
_space_group_IT_number 1
_space_group_name_Hall 'P 1'
_cell_length_a 7.5417
_cell_length_b 7.5417
_cell_length_c 12.6174
_cell_angle_alpha 90.00
_cell_angle_beta 90.00
_cell_angle_gamma 120.00
loop_
_atom_site_label
_atom_site_fract_x
_atom_site_fract_y
_atom_site_fract_z
La1 0.6667 0.3333 0.6066
La2 0.5117 0.0235 0.8380
La3 0.8305 0.6610 0.0978
La4 0.6610 0.8305 0.5978
La5 0.0000 0.0000 0.3289
La6 0.3390 0.1695 0.0978
La7 0.4883 0.5117 0.3380
La8 0.0235 0.5117 0.3380
La9 0.3333 0.6667 0.1066
La10 0.9765 0.4883 0.8380
La11 0.1695 0.3390 0.5978
La12 0.0000 0.0000 0.8289
La13 0.4883 0.9765 0.3380
La14 0.8305 0.1695 0.0978
La15 0.1695 0.8305 0.5978
La16 0.5117 0.4883 0.8380
C1 0.8355 0.6710 0.7179
C2 0.1645 0.3290 0.2179
C3 0.1645 0.8355 0.2179
C4 0.3290 0.1645 0.7179
C5 0.8355 0.1645 0.7179
C6 0.6710 0.8355 0.2179
N1 0.3333 0.6667 0.4603
N2 0.6667 0.3333 0.9603
# mass density: 6.21 g/cm3
# E_form (uncorrected): -0.253 eV/atom
# uncorrected energy: -0.48054 Ry per atom
# SG: P6_3mc


[2]
# Hf2PaTl | Alexandria | PBE | relaxed
data_Hf2PaTl
_space_group_name_H-M_alt 'P 1'
_space_group_IT_number 1
_space_group_name_Hall 'P 1'
_cell_length_a 3.2337
_cell_length_b 3.2337
_cell_length_c 10.6023
_cell_angle_alpha 81.23
_cell_angle_beta 81.23
_cell_angle_gamma 60.00
loop_
_atom_site_label
_atom_site_fract_x
_atom_site_fract_y
_atom_site_fract_z
Pa1 0.4999 0.4999 0.5003
Hf1 0.0827 0.0827 0.7519
Hf2 0.2508 0.2508 0.2476
Tl1 0.6666 0.6666 0.0002
# mass density: 13.92 g/cm3
# E_form: 0.060 eV per atom
# uncorrected energy: -0.57933 Ry per atom
# SG: R3m


[3]
# SrVI2 | Alexandria | PBE | relaxed
data_SrVI2
_space_group_name_H-M_alt 'P 1'
_space_group_IT_number 1
_space_group_name_Hall 'P 1'
_cell_length_a 5.6162
_cell_length_b 5.6162
_cell_length_c 5.6162
_cell_angle_alpha 60.00
_cell_angle_beta 60.00
_cell_angle_gamma 60.00
loop_
_atom_site_label
_atom_site_fract_x
_atom_site_fract_y
_atom_site_fract_z
Sr1 0.5000 0.5000 0.5000
I1 0.2500 0.2500 0.2500
I2 0.7500 0.7500 0.7500
V1 0.0000 0.0000 0.0000
# mass density: 5.20 g/cm3
# E_form (uncorrected): -0.202 eV/atom
# uncorrected energy: -0.27025 Ry per atom
# SG: Fm-3m


[4]
# Dy3Er2Pu | Alexandria | PBE | relaxed
data_Dy3Er2Pu
_space_group_name_H-M_alt 'P 1'
_space_group_IT_number 1
_space_group_name_Hall 'P 1'
_cell_length_a 11.3116
_cell_length_b 8.8017
_cell_length_c 8.8017
_cell_angle_alpha 41.46
_cell_angle_beta 50.02
_cell_angle_gamma 50.02
loop_
_atom_site_label
_atom_site_fract_x
_atom_site_fract_y
_atom_site_fract_z
Dy1 0.7670 0.9830 0.4830
Dy2 0.2330 0.5170 0.0170
Dy3 0.5000 0.7500 0.2500
Dy4 0.2330 0.0170 0.5170
Dy5 0.7670 0.4830 0.9830
Dy6 0.5000 0.2500 0.7500
Er1 0.6460 0.1001 0.1001
Er2 0.1537 0.6001 0.6001
Er3 0.3540 0.8999 0.8999
Er4 0.8463 0.3999 0.3999
Pu1 0.0000 0.5000 0.5000
Pu2 0.0000 0.0000 0.0000
# mass density: 8.40 g/cm3
# E_form: 0.611 eV per atom
# uncorrected energy: -0.41157 Ry per atom
# SG: Ibam


[5]
# NaScSeF2 | Alexandria | PBE | relaxed
data_NaScSeF2
_space_group_name_H-M_alt 'P 1'
_space_group_IT_number 1
_space_group_name_Hall 'P 1'
_cell_length_a 4.0176
_cell_length_b 6.9542
_cell_length_c 4.0176
_cell_angle_alpha 90.00
_cell_angle_beta 90.00
_cell_angle_gamma 90.00
loop_
_atom_site_label
_atom_site_fract_x
_atom_site_fract_y
_atom_site_fract_z
Na1 0.0000 0.5000 0.0000
F1 0.5000 0.0000 0.0000
F2 0.0000 0.0000 0.5000
Sc1 0.0000 0.0000 0.0000
Se1 0.5000 0.5000 0.5000
# mass density: 2.74 g/cm3
# E_form (uncorrected): -2.136 eV/atom
# uncorrected energy: -0.37566 Ry per atom
# SG: P4/mmm


[6]
# LaHoHf | Alexandria | PBE | relaxed
data_LaHoHf
_space_group_name_H-M_alt 'P 1'
_space_group_IT_number 1
_space_group_name_Hall 'P 1'
_cell_length_a 3.4319
_cell_length_b 3.4319
_cell_length_c 8.5187
_cell_angle_alpha 90.00
_cell_angle_beta 90.00
_cell_angle_gamma 120.00
loop_
_atom_site_label
_atom_site_fract_x
_atom_site_fract_y
_atom_site_fract_z
Hf1 0.6667 0.3333 0.3386
La1 0.0000 0.0000 0.0192
Ho1 0.3333 0.6667 0.6422
# mass density: 9.22 g/cm3
# E_form: 0.166 eV per atom
# uncorrected energy: -0.46455 Ry per atom
# SG: P3m1